Entry from Alexandria via LeMat-Bulk: a relaxed structure of Zn4GePd (PBE-GGA).

The structure in POSCAR format:
```
Zn4GePd
1.0
0.0000 3.5953 3.5953
3.5953 0.0000 3.5953
3.5953 3.5953 0.0000
Zn Ge Pd
4 1 1
Cartesian
2.7016 2.7016 2.7016
4.4891 4.4891 2.7016
4.4891 2.7016 4.4891
2.7016 4.4891 4.4891
0.0000 0.0000 0.0000
5.3930 5.3930 5.3930
```

## Properties
Its space group is F-43m (216). The value obtained for the total magnetization is 0.000 μB per atom. The calculation puts the formation energy at -0.44 eV/f.u.